Pm5Y3Tm4, optimized geometry, DFT PBE-GGA; energy relative to the elements = 0.248 eV/atom; size of the total moment = 0.39 μB per cell; crystal system = monoclinic; VASP energy = -4.838 eV/atom; Fermi-level density of states = 16.0 states/eV per cell
1.0
5.730 0.000 0.000
2.865 5.900 -2.063
2.865 -1.105 12.028
Pm Y Tm
5 3 4
direct
0.510 0.890 0.090
0.500 0.500 0.500
0.126 0.519 0.228
0.874 0.481 0.772
0.490 0.110 0.910
0.645 0.099 0.612
0.000 0.500 0.500
0.355 0.901 0.388
0.806 0.342 0.046
0.178 0.898 0.747
0.822 0.102 0.253
0.194 0.658 0.954